No. 1
! NaZn3Sb3 (PBE, optimized geometry); values from VASP
! Size of the total moment: 0.00 μB per formula unit
! D(E_F): 1.564 states/eV/f.u.
! Space-group type: R-3 (148)
! E above lowest polymorph: 0 meV/atom
! E_form (uncorrected): -0.089 eV per atom
! VASP energy: -36.27 eV per cell
&SYSTEM
  ibrav = 0, nat = 14, ntyp = 3
/
ATOMIC_SPECIES
Na 22.99 Na.upf
Zn 65.41 Zn.upf
Sb 121.76 Sb.upf
CELL_PARAMETERS angstrom
7.225 0.000 0.000
3.612 6.257 0.000
3.612 2.086 8.524
ATOMIC_POSITIONS angstrom
Na 7.225 4.171 0.018
Na 7.225 4.171 8.506
Zn 6.051 6.250 3.534
Zn 8.398 2.093 4.990
Zn 8.438 6.227 4.990
Zn 6.011 2.116 3.534
Zn 9.611 4.148 3.534
Zn 4.838 4.194 4.990
Sb 4.786 4.198 2.258
Sb 5.982 2.073 6.267
Sb 8.421 2.046 2.258
Sb 8.467 6.270 2.258
Sb 6.028 6.296 6.267
Sb 9.663 4.145 6.267


No. 2
! Er2Al4GaCu3 (PBE, optimized geometry); values from VASP
! Size of the total moment: 0.00 μB per formula unit
! Energy of formation: -0.42 eV/atom
! D(E_F): 3.764 states/eV/f.u.
! Space-group type: P-4m2 (115)
! VASP energy: -43.60 eV per cell
&SYSTEM
  ibrav = 0, nat = 10, ntyp = 4
/
ATOMIC_SPECIES
Al 26.98 Al.upf
Ga 69.72 Ga.upf
Cu 63.55 Cu.upf
Er 167.26 Er.upf
CELL_PARAMETERS angstrom
4.133 0.000 0.000
0.000 4.133 0.000
0.000 0.000 10.252
ATOMIC_POSITIONS angstrom
Al 2.067 0.000 6.579
Al 2.067 2.067 0.000
Al 0.000 2.067 3.672
Al 0.000 0.000 0.000
Ga 2.067 2.067 5.126
Cu 2.067 0.000 8.924
Cu 0.000 2.067 1.328
Cu 0.000 0.000 5.126
Er 2.067 0.000 2.535
Er 0.000 2.067 7.717


No. 3
! La3Dy6Y2Sc (PBE, optimized geometry); values from VASP
! Size of the total moment: 0.00 μB per formula unit
! Energy of formation: 0.03 eV/atom
! D(E_F): 17.849 states/eV/f.u.
! Space-group type: C2/m (12)
! VASP energy: -61.24 eV per cell
&SYSTEM
  ibrav = 0, nat = 12, ntyp = 4
/
ATOMIC_SPECIES
Dy 162.50 Dy.upf
Y 88.91 Y.upf
La 138.91 La.upf
Sc 44.96 Sc.upf
CELL_PARAMETERS angstrom
-4.484 -3.571 -2.356
4.081 -2.386 4.007
-6.853 4.917 8.309
ATOMIC_POSITIONS angstrom
Dy -3.170 -0.464 1.367
Dy -4.085 -0.577 8.594
Dy -5.294 2.237 6.709
Dy -0.345 -0.073 3.465
Dy -6.910 -0.968 6.495
Dy -1.962 -3.278 3.251
Y -1.627 -3.176 -0.234
Y 1.225 -2.781 1.885
La -6.483 -0.915 2.859
La -3.628 -0.520 4.980
La -0.772 -0.125 7.101
Sc 0.000 0.000 0.000


No. 4
! KSn2Sb (PBE, optimized geometry); values from VASP
! Size of the total moment: 0.00 μB per formula unit
! D(E_F): 1.926 states/eV/f.u.
! Space-group type: Pmm2 (25)
! E_form (uncorrected): -0.144 eV per atom
! VASP energy: -13.80 eV per cell
&SYSTEM
  ibrav = 0, nat = 4, ntyp = 3
/
ATOMIC_SPECIES
Sn 118.71 Sn.upf
K 39.10 K.upf
Sb 121.76 Sb.upf
CELL_PARAMETERS angstrom
-0.083 -4.128 0.647
3.924 0.156 1.500
-6.586 0.970 5.347
ATOMIC_POSITIONS angstrom
Sn -0.150 0.063 0.384
Sn 1.233 -1.696 2.838
K -3.992 -1.301 4.688
Sb -1.169 0.494 3.006


No. 5
! Rb3Co2AgBr8 (PBE, optimized geometry); values from VASP
! Size of the total moment: 6.00 μB per formula unit
! D(E_F): 0.657 states/eV/f.u.
! Space-group type: P-3m1 (164)
! E_form (uncorrected): -0.918 eV per atom
! VASP energy: -46.20 eV per cell
&SYSTEM
  ibrav = 0, nat = 14, ntyp = 4
/
ATOMIC_SPECIES
Br 79.90 Br.upf
Rb 85.47 Rb.upf
Co 58.93 Co.upf
Ag 107.87 Ag.upf
CELL_PARAMETERS angstrom
7.698 0.000 0.000
-3.849 6.667 0.000
0.000 0.000 9.711
ATOMIC_POSITIONS angstrom
Br 3.849 4.453 6.679
Br 1.932 5.560 3.032
Br 3.849 2.222 0.227
Br 0.000 2.214 3.032
Br 0.000 4.444 9.483
Br 5.781 1.107 6.679
Br 1.917 1.107 6.679
Br -1.932 5.560 3.032
Rb 0.000 0.000 0.000
Rb 3.849 2.222 3.600
Rb 0.000 4.444 6.111
Co 0.000 4.444 2.116
Co 3.849 2.222 7.595
Ag 0.000 0.000 4.855


No. 6
! LiLa2W (PBE, optimized geometry); values from VASP
! Size of the total moment: 0.00 μB per formula unit
! Energy of formation: 0.59 eV/atom
! D(E_F): 4.163 states/eV/f.u.
! Space-group type: Pmm2 (25)
! E above lowest polymorph: 175 meV/atom
! VASP energy: -22.38 eV per cell
&SYSTEM
  ibrav = 0, nat = 4, ntyp = 3
/
ATOMIC_SPECIES
La 138.91 La.upf
W 183.84 W.upf
Li 6.94 Li.upf
CELL_PARAMETERS angstrom
-2.569 -1.304 -1.573
1.027 -3.507 1.228
-4.446 0.962 6.463
ATOMIC_POSITIONS angstrom
La -4.146 0.897 6.026
La -2.236 -2.088 1.957
W -3.813 -1.747 4.249
Li -2.463 0.533 3.580